DFT (PBE-GGA) results for an optimized crystal structure of NpTcNi.

Structure (POSCAR):
```
NpTcNi
1.0
-0.0934 2.8596 -0.1002
-1.6687 0.0875 4.0520
4.3421 0.1214 -0.5850
Tc Ni Np
1 1 1
Cartesian
-0.0052 0.1605 -0.0056
2.2780 1.9612 0.8958
0.3072 0.9468 2.4766
```

Properties
- Calculated formation energy: 0.221 eV/atom
- Energy above the most stable polymorph in this dataset: 0 meV per atom
- E_tot: -9.475 eV/atom
- Total magnetization: 2.43 μB/cell

***

DFT (PBE-GGA) results for an optimized crystal structure of Mg12TlAg6.

Structure (POSCAR):
```
Mg12TlAg6
1.0
-0.6528 6.3949 4.8432
-4.4094 -6.1382 2.7672
7.7048 -2.1704 -0.8391
Mg Ag Tl
12 6 1
Cartesian
4.8289 -1.9256 0.4282
2.0876 -1.7899 1.5342
-2.1863 0.0119 6.3430
5.1076 1.7435 3.9858
-0.7457 -1.2488 2.7928
0.5549 -0.1238 5.2371
2.2918 -5.5306 3.0290
-2.4650 -3.6571 2.7854
1.3706 1.0744 2.6235
3.3883 -0.6648 3.9784
0.3508 3.6169 3.7423
1.2720 -2.9880 4.1478
4.1971 -3.2964 3.0601
-1.5545 1.3827 3.7112
3.9636 0.7177 1.3698
0.1695 -3.9678 1.5263
-1.3210 -2.6314 5.4015
2.4731 2.0541 5.2450
0.0000 0.0000 0.0000
```

Properties
- Calculated formation energy: -0.112 eV/atom
- E_tot: -2.144 eV/atom
- Total magnetization: 0.00 μB/cell